*w*
VASP calculation (PBE-GGA) on a relaxed NdGeH2O4 crystal. Values from VASP.

Cell and atoms, written as Quantum ESPRESSO input:
```
&SYSTEM
  ibrav = 0, nat = 32, ntyp = 4
/
ATOMIC_SPECIES
O 16.00 O.upf
H 1.01 H.upf
Ge 72.64 Ge.upf
Nd 144.24 Nd.upf
CELL_PARAMETERS angstrom
12.1928 0.0000 0.0701
0.0000 6.0038 0.0000
-1.0779 0.0000 5.0672
ATOMIC_POSITIONS crystal
O 0.4655 0.7605 0.0440
H 0.9937 0.7625 0.3630
O 0.4897 0.2354 0.4406
H 0.4937 0.7375 0.3630
O 0.2751 0.8489 0.6986
O 0.0345 0.2605 0.9560
O 0.2909 0.3981 0.8024
H 0.5063 0.2625 0.6370
Ge 0.8950 0.8689 0.7345
O 0.5103 0.7646 0.5594
O 0.7751 0.6511 0.6986
O 0.7091 0.6019 0.1976
O 0.2249 0.3489 0.3014
Nd 0.1421 0.6051 0.9248
Ge 0.3950 0.6311 0.7346
H 0.7540 0.1326 0.5005
Ge 0.6050 0.3689 0.2655
Ge 0.1050 0.1311 0.2655
O 0.7909 0.1019 0.8024
Nd 0.3579 0.1051 0.0752
H 0.2540 0.3674 0.5005
H 0.0063 0.2375 0.6370
O 0.0103 0.7354 0.5594
O 0.9655 0.7395 0.0440
O 0.9897 0.2646 0.4406
O 0.2091 0.8981 0.1976
O 0.7249 0.1511 0.3014
H 0.7460 0.6326 0.4995
O 0.5345 0.2395 0.9560
Nd 0.6421 0.8949 0.9248
Nd 0.8579 0.3949 0.0752
H 0.2460 0.8674 0.4995
```

Summary:
- crystal system = monoclinic

---

*x*
VASP calculation (PBE-GGA) on a relaxed NdGeH2O4 crystal. Values from VASP.

Cell and atoms, written as Quantum ESPRESSO input:
```
&SYSTEM
  ibrav = 0, nat = 16, ntyp = 4
/
ATOMIC_SPECIES
O 16.00 O.upf
H 1.01 H.upf
Ge 72.64 Ge.upf
Nd 144.24 Nd.upf
CELL_PARAMETERS angstrom
6.3911 0.0000 0.0000
-2.7320 5.7777 0.0000
-2.7320 -2.3173 5.2927
ATOMIC_POSITIONS crystal
O 0.3407 0.5676 0.8858
O 0.1593 0.9769 0.7951
H 0.0000 0.2249 0.2249
Ge 0.5000 0.7500 0.2500
Nd 0.5000 0.2500 0.7500
H 0.0000 0.7751 0.7751
O 0.6817 0.1142 0.4549
Ge 0.0000 0.0000 0.0000
Nd 0.0000 0.5000 0.5000
O 0.6593 0.5451 0.2269
O 0.8183 0.1824 0.0231
H 0.5000 0.9749 0.4749
H 0.5000 0.5251 0.0251
O 0.3183 0.7731 0.4324
O 0.8407 0.6358 0.8176
O 0.1817 0.2049 0.3642
```

Summary:
- crystal system = tetragonal

---

*y*
VASP calculation (PBE-GGA) on a relaxed NdGeH2O4 crystal. Values from VASP.

Cell and atoms, written as Quantum ESPRESSO input:
```
&SYSTEM
  ibrav = 0, nat = 16, ntyp = 4
/
ATOMIC_SPECIES
H 1.01 H.upf
O 16.00 O.upf
Ge 72.64 Ge.upf
Nd 144.24 Nd.upf
CELL_PARAMETERS angstrom
6.9280 0.0000 -0.9520
0.0000 6.3544 0.0000
-1.9393 0.0000 4.6150
ATOMIC_POSITIONS crystal
H 0.4936 0.7500 0.1709
O 0.4589 0.2500 0.9941
H 0.0000 0.5000 0.5000
H 0.5064 0.2500 0.8291
O 0.4586 0.7500 0.4342
H 0.0000 0.0000 0.5000
O 0.0684 0.5278 0.3262
Ge 0.7207 0.2500 0.4119
O 0.0684 0.9722 0.3262
Nd 0.8135 0.7500 0.8702
O 0.5411 0.7500 0.0059
Nd 0.1865 0.2500 0.1298
O 0.9316 0.4722 0.6738
O 0.9316 0.0278 0.6738
Ge 0.2793 0.7500 0.5881
O 0.5414 0.2500 0.5658
```

Summary:
- crystal system = monoclinic

---

Quick one: least stable of them? *x*

---

*w*
VASP calculation (PBE-GGA) on a relaxed PmGeH2O4 crystal. Values from VASP.

Cell and atoms, written as Quantum ESPRESSO input:
```
&SYSTEM
  ibrav = 0, nat = 16, ntyp = 4
/
ATOMIC_SPECIES
Ge 72.64 Ge.upf
O 16.00 O.upf
Pm 145.00 Pm.upf
H 1.01 H.upf
CELL_PARAMETERS angstrom
-3.4365 -3.4365 -4.1063
-3.4365 3.4365 4.1063
3.4365 3.4365 -4.1063
ATOMIC_POSITIONS crystal
Ge 0.0000 0.0000 0.0000
O 0.5450 0.6634 0.2227
O 0.1907 0.8223 0.0273
Pm 0.5000 0.0000 0.5000
H 0.2273 0.0000 0.2273
H 0.7727 0.0000 0.7727
H 0.9773 0.5000 0.4773
H 0.5227 0.5000 0.0227
O 0.1184 0.6777 0.4550
Ge 0.7500 0.5000 0.2500
O 0.6316 0.8366 0.8093
O 0.5593 0.3366 0.8816
O 0.9727 0.1634 0.7950
O 0.2050 0.1777 0.3684
Pm 0.2500 0.5000 0.7500
O 0.7773 0.3223 0.4407
```

Summary:
- crystal system = tetragonal

---

*x*
VASP calculation (PBE-GGA) on a relaxed PmGeH2O4 crystal. Values from VASP.

Cell and atoms, written as Quantum ESPRESSO input:
```
&SYSTEM
  ibrav = 0, nat = 16, ntyp = 4
/
ATOMIC_SPECIES
O 16.00 O.upf
H 1.01 H.upf
Pm 145.00 Pm.upf
Ge 72.64 Ge.upf
CELL_PARAMETERS angstrom
-0.1711 6.6034 -2.2235
-4.3431 -1.5692 -4.3261
-3.0447 -1.5811 3.6302
ATOMIC_POSITIONS crystal
O 0.5474 0.7500 0.0087
H 0.4989 0.7500 0.1731
O 0.5400 0.2500 0.5661
O 0.4600 0.7500 0.4339
O 0.0673 0.9730 0.3247
H 0.0000 0.0000 0.5000
O 0.0673 0.5270 0.3247
O 0.9327 0.0271 0.6753
Pm 0.1845 0.2500 0.1306
O 0.9327 0.4730 0.6753
H 0.0000 0.5000 0.5000
H 0.5011 0.2500 0.8269
Pm 0.8155 0.7500 0.8694
Ge 0.7187 0.2500 0.4109
O 0.4526 0.2500 0.9913
Ge 0.2813 0.7500 0.5891
```

Summary:
- crystal system = monoclinic

---

Quick one: least stable of them? *w*

---

*w*
VASP calculation (PBE-GGA) on a relaxed PmGeHO4 crystal. Values from VASP.

Cell and atoms, written as Quantum ESPRESSO input:
```
&SYSTEM
  ibrav = 0, nat = 28, ntyp = 4
/
ATOMIC_SPECIES
O 16.00 O.upf
H 1.01 H.upf
Ge 72.64 Ge.upf
Pm 145.00 Pm.upf
CELL_PARAMETERS angstrom
-4.7445 0.7974 -1.7520
-1.1017 -9.0992 -1.1580
-2.4380 -0.5152 6.3677
ATOMIC_POSITIONS crystal
O 0.2498 0.8527 0.2500
O 0.1207 0.4334 0.7500
O 0.1110 0.1130 0.0445
O 0.8890 0.8870 0.5445
H 0.5000 0.5000 0.0000
O 0.6110 0.3870 0.5445
Ge 0.2842 0.0411 0.2500
O 0.6110 0.3870 0.9555
O 0.3890 0.6130 0.4555
H 0.0000 0.0000 0.0000
Pm 0.6944 0.7903 0.2500
Pm 0.8056 0.2904 0.2500
Pm 0.1944 0.7096 0.7500
O 0.3793 0.9334 0.7500
O 0.2502 0.3527 0.2500
O 0.8890 0.8870 0.9555
Ge 0.7158 0.9589 0.7500
Ge 0.2158 0.5411 0.2500
O 0.8793 0.5666 0.2500
O 0.1110 0.1130 0.4555
O 0.7502 0.1473 0.7500
Ge 0.7842 0.4589 0.7500
H 0.5000 0.5000 0.5000
O 0.6207 0.0666 0.2500
Pm 0.3056 0.2097 0.7500
O 0.7498 0.6473 0.7500
O 0.3890 0.6130 0.0445
H 0.0000 0.0000 0.5000
```

Summary:
- crystal system = orthorhombic

---

*x*
VASP calculation (PBE-GGA) on a relaxed PmGeHO4 crystal. Values from VASP.

Cell and atoms, written as Quantum ESPRESSO input:
```
&SYSTEM
  ibrav = 0, nat = 28, ntyp = 4
/
ATOMIC_SPECIES
O 16.00 O.upf
Ge 72.64 Ge.upf
Pm 145.00 Pm.upf
H 1.01 H.upf
CELL_PARAMETERS angstrom
-2.0668 6.9952 2.7886
-4.3588 -2.8467 3.9105
5.4706 -3.1442 3.8089
ATOMIC_POSITIONS crystal
O 0.4392 0.2143 0.2603
O 0.2229 0.9217 0.7830
O 0.2229 0.5783 0.2830
O 0.0661 0.3071 0.5423
O 0.5608 0.7143 0.2397
Ge 0.2426 0.1282 0.6426
O 0.7202 0.4927 0.0575
Pm 0.2462 0.8730 0.1013
O 0.2798 0.5073 0.9425
O 0.7202 0.0073 0.5575
O 0.4392 0.2857 0.7603
O 0.0661 0.1929 0.0423
O 0.9339 0.6929 0.4577
Ge 0.2426 0.3718 0.1426
O 0.7771 0.4217 0.7170
Ge 0.7574 0.6282 0.8574
Pm 0.7538 0.1270 0.8987
H 0.3681 0.4127 0.9085
O 0.2798 0.9927 0.4425
Ge 0.7574 0.8718 0.3574
Pm 0.2462 0.6270 0.6013
O 0.9339 0.8071 0.9577
H 0.6319 0.9127 0.5915
Pm 0.7538 0.3730 0.3987
O 0.7771 0.0783 0.2170
H 0.6319 0.5873 0.0915
O 0.5608 0.7857 0.7397
H 0.3681 0.0873 0.4085
```

Summary:
- crystal system = monoclinic

---

*y*
VASP calculation (PBE-GGA) on a relaxed PmGeHO4 crystal. Values from VASP.

Cell and atoms, written as Quantum ESPRESSO input:
```
&SYSTEM
  ibrav = 0, nat = 28, ntyp = 4
/
ATOMIC_SPECIES
O 16.00 O.upf
H 1.01 H.upf
Ge 72.64 Ge.upf
Pm 145.00 Pm.upf
CELL_PARAMETERS angstrom
-0.9682 -2.8207 -7.3221
6.5409 -1.9543 -0.1120
-1.3838 -4.9096 4.8586
ATOMIC_POSITIONS crystal
O 0.9019 0.8085 0.4467
H 0.5427 0.6821 0.6194
O 0.5365 0.7135 0.2135
Ge 0.2419 0.1078 0.1329
H 0.5427 0.8179 0.1194
O 0.1892 0.5707 0.7803
O 0.8108 0.4293 0.2197
Pm 0.7886 0.3626 0.8876
O 0.2860 0.5361 0.4494
Pm 0.2114 0.8626 0.6124
O 0.2860 0.9639 0.9494
Ge 0.7581 0.6078 0.3671
O 0.8108 0.0707 0.7197
Pm 0.2114 0.6374 0.1124
O 0.0981 0.1915 0.5533
H 0.4573 0.1821 0.8806
O 0.1892 0.9293 0.2803
O 0.7140 0.4639 0.5506
O 0.0981 0.3085 0.0533
O 0.4635 0.2135 0.2865
O 0.7140 0.0361 0.0506
O 0.9019 0.6915 0.9467
O 0.5365 0.7865 0.7135
H 0.4573 0.3179 0.3806
O 0.4635 0.2865 0.7865
Ge 0.2419 0.3922 0.6329
Pm 0.7886 0.1374 0.3876
Ge 0.7581 0.8922 0.8671
```

Summary:
- crystal system = monoclinic

---

*z*
VASP calculation (PBE-GGA) on a relaxed PmGeHO4 crystal. Values from VASP.

Cell and atoms, written as Quantum ESPRESSO input:
```
&SYSTEM
  ibrav = 0, nat = 14, ntyp = 4
/
ATOMIC_SPECIES
O 16.00 O.upf
Ge 72.64 Ge.upf
H 1.01 H.upf
Pm 145.00 Pm.upf
CELL_PARAMETERS angstrom
-1.2550 -4.6371 -2.2263
5.3931 0.3455 -3.7598
2.5385 -1.6409 3.4905
ATOMIC_POSITIONS crystal
O 0.0984 0.9503 0.2891
O 0.9016 0.0497 0.7109
Ge 0.6934 0.2500 0.5554
H 0.0000 0.5000 0.5000
O 0.3778 0.2500 0.6151
O 0.9016 0.4503 0.7109
O 0.3267 0.7500 0.8272
Pm 0.2134 0.2500 0.0532
Pm 0.7866 0.7500 0.9468
Ge 0.3066 0.7500 0.4446
O 0.0984 0.5497 0.2891
O 0.6733 0.2500 0.1728
H 0.0000 0.0000 0.5000
O 0.6222 0.7500 0.3849
```

Summary:
- crystal system = monoclinic

---

Quick one: least stable of them? *w*

---

*w*
VASP calculation (PBE-GGA) on a relaxed SmGeHO4 crystal. Values from VASP.

Cell and atoms, written as Quantum ESPRESSO input:
```
&SYSTEM
  ibrav = 0, nat = 28, ntyp = 4
/
ATOMIC_SPECIES
O 16.00 O.upf
Ge 72.64 Ge.upf
Sm 150.36 Sm.upf
H 1.01 H.upf
CELL_PARAMETERS angstrom
5.2866 0.0000 0.0000
0.0000 11.8750 0.0000
0.0000 0.0000 4.8090
ATOMIC_POSITIONS crystal
O 0.3877 0.7983 0.5245
Ge 0.0000 0.6076 0.7500
Ge 0.5000 0.1076 0.7500
O 0.1123 0.7017 0.0245
Sm 0.0000 0.8800 0.7500
Sm 0.5000 0.3800 0.7500
Sm 0.0000 0.1200 0.2500
H 0.0000 0.2999 0.7500
O 0.8877 0.7017 0.4755
O 0.1123 0.2983 0.5245
O 0.2606 0.5423 0.6003
H 0.5000 0.2001 0.2500
Ge 0.0000 0.3924 0.2500
H 0.0000 0.7001 0.2500
Sm 0.5000 0.6200 0.2500
O 0.2394 0.0423 0.6003
O 0.7606 0.9577 0.3997
Ge 0.5000 0.8924 0.2500
O 0.6123 0.7983 0.9755
O 0.8877 0.2983 0.9755
O 0.2606 0.4577 0.1003
O 0.7394 0.5423 0.8997
O 0.7394 0.4577 0.3997
O 0.2394 0.9577 0.1003
H 0.5000 0.7999 0.7500
O 0.7606 0.0423 0.8997
O 0.6123 0.2017 0.4755
O 0.3877 0.2017 0.0245
```

Summary:
- crystal system = orthorhombic

---

*x*
VASP calculation (PBE-GGA) on a relaxed SmGeHO4 crystal. Values from VASP.

Cell and atoms, written as Quantum ESPRESSO input:
```
&SYSTEM
  ibrav = 0, nat = 28, ntyp = 4
/
ATOMIC_SPECIES
H 1.01 H.upf
Ge 72.64 Ge.upf
O 16.00 O.upf
Sm 150.36 Sm.upf
CELL_PARAMETERS angstrom
-6.3468 0.7401 1.0705
-0.0543 -6.2154 3.9752
1.4558 6.1979 4.3460
ATOMIC_POSITIONS crystal
H 0.9137 0.0934 0.6309
Ge 0.1268 0.1431 0.2431
O 0.7156 0.7411 0.5597
Ge 0.3732 0.6431 0.2431
O 0.0097 0.0575 0.7192
O 0.9200 0.2830 0.2212
O 0.4200 0.2170 0.7788
O 0.8079 0.4568 0.9329
O 0.3079 0.0432 0.0671
Sm 0.8730 0.6009 0.2452
O 0.2156 0.7589 0.4403
Sm 0.1270 0.3991 0.7548
H 0.4137 0.4066 0.3691
Ge 0.6268 0.3569 0.7569
O 0.4903 0.5575 0.7192
O 0.9903 0.9425 0.2808
Ge 0.8732 0.8569 0.7569
O 0.5800 0.7830 0.2212
O 0.2844 0.2589 0.4403
O 0.1921 0.5432 0.0671
Sm 0.6270 0.1009 0.2452
O 0.5097 0.4425 0.2808
O 0.7844 0.2411 0.5597
O 0.0800 0.7170 0.7788
O 0.6921 0.9568 0.9329
Sm 0.3730 0.8991 0.7548
H 0.0863 0.9066 0.3691
H 0.5863 0.5934 0.6309
```

Summary:
- crystal system = monoclinic

---

Quick one: least stable of them? *x*

---

*w*
VASP calculation (PBE-GGA) on a relaxed SmGeHO4 crystal. Values from VASP.

Cell and atoms, written as Quantum ESPRESSO input:
```
&SYSTEM
  ibrav = 0, nat = 28, ntyp = 4
/
ATOMIC_SPECIES
O 16.00 O.upf
Ge 72.64 Ge.upf
H 1.01 H.upf
Sm 150.36 Sm.upf
CELL_PARAMETERS angstrom
9.1950 0.0000 0.0000
0.0000 6.7407 0.0000
0.0000 0.0000 5.1714
ATOMIC_POSITIONS crystal
O 0.6131 0.4574 0.3879
Ge 0.5415 0.2500 0.2126
O 0.0669 0.2500 0.6212
Ge 0.0415 0.2500 0.2874
H 0.5000 0.5000 0.5000
H 0.0000 0.0000 0.0000
H 0.0000 0.5000 0.0000
O 0.4331 0.7500 0.1212
O 0.6131 0.0426 0.3879
O 0.8521 0.2500 0.2560
Sm 0.7896 0.2500 0.6901
O 0.8869 0.5426 0.8879
H 0.5000 0.0000 0.5000
O 0.1131 0.4574 0.1121
O 0.8869 0.9574 0.8879
Sm 0.2896 0.2500 0.8099
Ge 0.9585 0.7500 0.7126
Ge 0.4585 0.7500 0.7874
O 0.1131 0.0426 0.1121
Sm 0.2104 0.7500 0.3099
O 0.6479 0.7500 0.7560
O 0.3521 0.2500 0.2440
O 0.3869 0.9574 0.6121
Sm 0.7104 0.7500 0.1901
O 0.1479 0.7500 0.7440
O 0.5669 0.2500 0.8788
O 0.9331 0.7500 0.3788
O 0.3869 0.5426 0.6121
```

Summary:
- crystal system = orthorhombic

---

*x*
VASP calculation (PBE-GGA) on a relaxed SmGeHO4 crystal. Values from VASP.

Cell and atoms, written as Quantum ESPRESSO input:
```
&SYSTEM
  ibrav = 0, nat = 28, ntyp = 4
/
ATOMIC_SPECIES
Ge 72.64 Ge.upf
O 16.00 O.upf
Sm 150.36 Sm.upf
H 1.01 H.upf
CELL_PARAMETERS angstrom
7.9160 0.0000 0.1712
0.0000 6.7991 0.0000
-2.7424 0.0000 6.4641
ATOMIC_POSITIONS crystal
Ge 0.7567 0.6090 0.3693
O 0.4646 0.2172 0.2841
O 0.5354 0.7828 0.7159
O 0.7166 0.4648 0.5557
O 0.0973 0.1906 0.5514
Sm 0.7891 0.1382 0.3917
O 0.4646 0.2828 0.7841
Sm 0.2109 0.6382 0.1083
O 0.7166 0.0352 0.0557
Ge 0.2433 0.1090 0.1307
Sm 0.2109 0.8618 0.6083
O 0.2834 0.5352 0.4443
H 0.5433 0.6785 0.6211
O 0.0973 0.3094 0.0514
H 0.5433 0.8215 0.1211
O 0.8055 0.4287 0.2198
Ge 0.2433 0.3910 0.6307
Ge 0.7567 0.8910 0.8693
O 0.9027 0.6906 0.9486
H 0.4567 0.1785 0.8789
O 0.9027 0.8094 0.4486
O 0.2834 0.9648 0.9443
O 0.8055 0.0713 0.7198
H 0.4567 0.3215 0.3789
Sm 0.7891 0.3618 0.8917
O 0.1945 0.5713 0.7802
O 0.5354 0.7172 0.2159
O 0.1945 0.9287 0.2802
```

Summary:
- crystal system = monoclinic

---

*y*
VASP calculation (PBE-GGA) on a relaxed SmGeHO4 crystal. Values from VASP.

Cell and atoms, written as Quantum ESPRESSO input:
```
&SYSTEM
  ibrav = 0, nat = 14, ntyp = 4
/
ATOMIC_SPECIES
Ge 72.64 Ge.upf
O 16.00 O.upf
H 1.01 H.upf
Sm 150.36 Sm.upf
CELL_PARAMETERS angstrom
-5.2418 0.5865 0.0803
-0.6078 -4.8297 -4.3998
0.3392 -3.1142 3.3715
ATOMIC_POSITIONS crystal
Ge 0.6917 0.2500 0.5564
O 0.6250 0.7500 0.3844
O 0.9015 0.4506 0.7123
O 0.0985 0.9506 0.2877
H 0.0000 0.5000 0.5000
Ge 0.3083 0.7500 0.4436
O 0.3291 0.7500 0.8271
O 0.9015 0.0494 0.7123
O 0.0985 0.5494 0.2877
H 0.0000 0.0000 0.5000
O 0.3750 0.2500 0.6156
Sm 0.2123 0.2500 0.0535
Sm 0.7877 0.7500 0.9465
O 0.6709 0.2500 0.1729
```

Summary:
- crystal system = monoclinic

---

Quick one: least stable of them? *w*